The following is a GGA-PBE calculation of PrLu2Ni after structural relaxation, from Alexandria.

Results
As for the symmetry: P4/mmm, No. 123.

a b c (Å): 3.395 3.395 8.714
angles (deg): 90.00 90.00 90.00
Positions (direct):
Pr (0.500, 0.500, 0.500)
Ni (0.500, 0.500, 0.000)
Lu (0.000, 0.000, 0.820)
Lu (0.000, 0.000, 0.180)

---

The following is a GGA-PBE calculation of PrLu2Ni after structural relaxation, from Alexandria.

Results
As for the symmetry: R-3m, No. 166.

a b c (Å): 3.741 3.741 9.375
angles (deg): 78.49 78.49 60.00
Positions (direct):
Pr (0.500, 0.500, 0.500)
Ni (0.000, 0.000, 0.000)
Lu (0.277, 0.277, 0.168)
Lu (0.723, 0.723, 0.832)

---

The following is a GGA-PBE calculation of PrLuNi2 after structural relaxation, from Alexandria.

Results
As for the symmetry: P4/mmm, No. 123.

a b c (Å): 3.408 3.408 6.819
angles (deg): 90.00 90.00 90.00
Positions (direct):
Pr (0.500, 0.500, 0.500)
Ni (0.000, 0.000, 0.780)
Ni (0.000, 0.000, 0.220)
Lu (0.500, 0.500, 0.000)

---

The following is a GGA-PBE calculation of PrLuNi2 after structural relaxation, from Alexandria.

Results
As for the symmetry: Fm-3m, No. 225.

a b c (Å): 4.831 4.831 4.831
angles (deg): 60.00 60.00 60.00
Positions (direct):
Pr (0.500, 0.500, 0.500)
Ni (0.250, 0.250, 0.250)
Ni (0.750, 0.750, 0.750)
Lu (0.000, 0.000, 0.000)

---

Relative energy among the computed polymorphs / meV/atom: 0, 101, 0, 12
Volume / Å³/f.u.: 100.4, 110.6, 79.2, 79.7
Energy of formation / eV per atom: -0.2267, -0.1258, -0.3219, -0.3095